(1)
A geometry-optimized CuB structure. Source: Alexandria via LeMat-Bulk, functional GGA-PBE.

Lattice parameters (Å, degrees): 5.274 5.274 5.274 98.31 98.31 135.31
Fractional coordinates of all 8 atoms:
Cu  0.190  0.690  0.880
Cu  0.310  0.190  0.500
Cu  0.690  0.810  0.500
Cu  0.810  0.310  0.120
B  0.092  0.408  0.500
B  0.408  0.908  0.316
B  0.592  0.092  0.684
B  0.908  0.592  0.500

**Symmetry**: I4/mcm, No. 140
**Final energy**: -4.8552 eV per atom
**Energy of formation from the pure elements**: 0.5316 eV per atom

(2)
A geometry-optimized CuB structure. Source: Alexandria via LeMat-Bulk, functional GGA-PBE.

Lattice parameters (Å, degrees): 3.292 3.292 3.292 60.00 60.00 60.00
Fractional coordinates of all 2 atoms:
Cu  0.000  0.000  0.000
B  0.250  0.250  0.250

**Symmetry**: F-43m, No. 216
**Final energy**: -4.1905 eV per atom
**Energy of formation from the pure elements**: 1.1963 eV per atom

(3)
A geometry-optimized CuB structure. Source: Alexandria via LeMat-Bulk, functional GGA-PBE.

Lattice parameters (Å, degrees): 5.471 5.471 4.598 90.00 90.00 120.00
Fractional coordinates of all 12 atoms:
Cu  0.000  0.436  0.250
Cu  0.000  0.564  0.750
Cu  0.436  0.000  0.250
Cu  0.436  0.436  0.750
Cu  0.564  0.000  0.750
Cu  0.564  0.564  0.250
B  0.000  0.185  0.750
B  0.000  0.815  0.250
B  0.185  0.000  0.750
B  0.185  0.185  0.250
B  0.815  0.000  0.250
B  0.815  0.815  0.750

**Symmetry**: P6_3/mcm, No. 193
**Final energy**: -4.9185 eV per atom
**Energy of formation from the pure elements**: 0.4683 eV per atom

(4)
A geometry-optimized Dy2CuB8O16 structure. Source: Alexandria via LeMat-Bulk, functional GGA-PBE.

Lattice parameters (Å, degrees): 10.271 8.506 6.256 90.00 90.09 90.00
Fractional coordinates of all 54 atoms:
Dy  0.182  0.002  0.499
Dy  0.182  0.498  0.999
Dy  0.818  0.502  0.001
Dy  0.818  0.998  0.501
Cu  0.500  0.000  0.500
Cu  0.500  0.500  0.000
B  0.000  0.182  0.886
B  0.000  0.318  0.386
B  0.000  0.682  0.614
B  0.000  0.818  0.114
B  0.194  0.001  0.999
B  0.194  0.499  0.499
B  0.376  0.693  0.383
B  0.376  0.807  0.883
B  0.379  0.193  0.116
B  0.379  0.307  0.616
B  0.621  0.693  0.384
B  0.621  0.807  0.884
B  0.624  0.193  0.117
B  0.624  0.307  0.617
B  0.806  0.501  0.501
B  0.806  0.999  0.001
O  0.002  0.664  0.063
O  0.002  0.836  0.563
O  0.115  0.595  0.647
O  0.115  0.905  0.147
O  0.117  0.101  0.850
O  0.117  0.399  0.350
O  0.269  0.595  0.347
O  0.269  0.905  0.847
O  0.272  0.094  0.150
O  0.272  0.406  0.650
O  0.359  0.655  0.938
O  0.359  0.845  0.438
O  0.361  0.155  0.561
O  0.361  0.345  0.061
O  0.499  0.627  0.354
O  0.499  0.873  0.854
O  0.501  0.127  0.146
O  0.501  0.373  0.646
O  0.639  0.655  0.939
O  0.639  0.845  0.439
O  0.641  0.155  0.562
O  0.641  0.345  0.062
O  0.728  0.594  0.350
O  0.728  0.906  0.850
O  0.731  0.095  0.153
O  0.731  0.405  0.653
O  0.883  0.601  0.650
O  0.883  0.899  0.150
O  0.885  0.095  0.853
O  0.885  0.405  0.353
O  0.998  0.164  0.437
O  0.998  0.336  0.937

**Symmetry**: P2_1/c, No. 14
**Final energy**: -7.9398 eV per atom